{
  "formula": "In2BiOsO8",
  "functional": "PBE",
  "state": "optimized geometry",
  "magmom_total_mub_per_cell": 0.65,
  "rho_g_cm3": 7.8,
  "formation_energy_uncorrected_ev_per_atom": -1.212,
  "lattice": [[3.445, -3.499, 0.000], [3.445, 3.499, 0.000], [0.000, 0.000, 6.719]],
  "species": ["In", "In", "Bi", "Os", "O", "O", "O", "O", "O", "O", "O", "O"],
  "frac_coords": [[0.000, 0.000, 0.246], [0.000, 0.000, 0.754], [0.500, 0.500, 0.500], [0.500, 0.500, 0.000], [0.185, 0.185, 0.500], [0.220, 0.220, 0.000], [0.315, 0.685, 0.214], [0.315, 0.685, 0.786], [0.685, 0.315, 0.214], [0.685, 0.315, 0.786], [0.780, 0.780, 0.000], [0.815, 0.815, 0.500]]
}

=====

{
  "formula": "La2MgZn5",
  "functional": "PBE",
  "state": "optimized geometry",
  "magmom_total_mub_per_cell": 0.00,
  "rho_g_cm3": 5.9,
  "final_energy_ev_per_atom": -2.487,
  "lattice": [[2.261, -8.453, 0.000], [2.261, 8.453, 0.000], [0.000, 0.000, 9.263]],
  "species": ["La", "La", "La", "La", "Mg", "Mg", "Zn", "Zn", "Zn", "Zn", "Zn", "Zn", "Zn", "Zn", "Zn", "Zn"],
  "frac_coords": [[0.000, 0.000, 0.000], [0.000, 0.000, 0.500], [0.208, 0.792, 0.750], [0.792, 0.208, 0.250], [0.442, 0.558, 0.250], [0.558, 0.442, 0.750], [0.184, 0.816, 0.109], [0.184, 0.816, 0.391], [0.347, 0.653, 0.015], [0.347, 0.653, 0.485], [0.399, 0.601, 0.750], [0.601, 0.399, 0.250], [0.653, 0.347, 0.515], [0.653, 0.347, 0.985], [0.816, 0.184, 0.609], [0.816, 0.184, 0.891]]
}

=====

{
  "formula": "ZnGa3F",
  "functional": "PBE",
  "state": "optimized geometry",
  "magmom_total_mub_per_cell": 0.00,
  "e_above_lowest_polymorph_mev_per_atom": 0,
  "rho_g_cm3": 4.8,
  "formation_energy_uncorrected_ev_per_atom": -0.272,
  "lattice": [[4.672, 0.000, 0.000], [0.000, 4.672, 0.000], [0.000, 0.000, 4.672]],
  "species": ["Zn", "Ga", "Ga", "Ga", "F"],
  "frac_coords": [[0.000, 0.000, 0.000], [0.000, 0.500, 0.500], [0.500, 0.000, 0.500], [0.500, 0.500, 0.000], [0.500, 0.500, 0.500]]
}

=====

{
  "formula": "ErTiAl2",
  "functional": "PBE",
  "state": "optimized geometry",
  "magmom_total_mub_per_cell": 0.77,
  "e_above_lowest_polymorph_mev_per_atom": 81,
  "rho_g_cm3": 5.8,
  "lattice": [[0.000, 3.380, 3.380], [3.380, 0.000, 3.380], [3.380, 3.380, 0.000]],
  "species": ["Er", "Ti", "Al", "Al"],
  "frac_coords": [[0.000, 0.000, 0.000], [0.500, 0.500, 0.500], [0.250, 0.250, 0.250], [0.750, 0.750, 0.750]]
}

=====

{
  "formula": "Rb2GeMoBr6",
  "functional": "PBE",
  "state": "optimized geometry",
  "magmom_total_mub_per_cell": 4.00,
  "rho_g_cm3": 4.0,
  "formation_energy_uncorrected_ev_per_atom": -0.874,
  "lattice": [[-3.901, 3.901, 5.530], [3.901, -3.901, 5.530], [3.901, 3.901, -5.530]],
  "species": ["Rb", "Rb", "Ge", "Mo", "Br", "Br", "Br", "Br", "Br", "Br"],
  "frac_coords": [[0.250, 0.750, 0.500], [0.750, 0.250, 0.500], [0.000, 0.000, 0.000], [0.500, 0.500, 0.000], [0.256, 0.256, 0.000], [0.257, 0.257, 0.513], [0.257, 0.743, 0.000], [0.743, 0.257, 0.000], [0.743, 0.743, 0.487], [0.744, 0.744, 0.000]]
}

=====

{
  "formula": "PmSmS2O",
  "functional": "PBE",
  "state": "optimized geometry",
  "magmom_total_mub_per_cell": 0.00,
  "rho_g_cm3": 5.6,
  "formation_energy_uncorrected_ev_per_atom": -2.490,
  "lattice": [[3.971, 0.000, 0.000], [0.000, 3.971, 0.000], [0.000, 0.000, 14.200]],
  "species": ["Pm", "Pm", "Sm", "Sm", "S", "S", "S", "S", "O", "O"],
  "frac_coords": [[0.250, 0.250, 0.084], [0.750, 0.750, 0.916], [0.250, 0.250, 0.626], [0.750, 0.750, 0.374], [0.250, 0.250, 0.409], [0.250, 0.250, 0.806], [0.750, 0.750, 0.194], [0.750, 0.750, 0.591], [0.250, 0.750, 0.000], [0.750, 0.250, 0.000]]
}

=====

{
  "formula": "Th2CdFe",
  "functional": "PBE",
  "state": "optimized geometry",
  "magmom_total_mub_per_cell": 0.00,
  "e_above_lowest_polymorph_mev_per_atom": 74,
  "rho_g_cm3": 9.6,
  "lattice": [[1.975, 1.140, 8.111], [-1.975, 1.140, 8.111], [0.000, -2.281, 8.111]],
  "species": ["Th", "Th", "Cd", "Fe"],
  "frac_coords": [[0.000, 0.000, 0.000], [0.214, 0.214, 0.214], [0.439, 0.439, 0.439], [0.607, 0.607, 0.607]]
}

=====

{
  "formula": "Cs2NaCd",
  "functional": "PBE",
  "state": "optimized geometry",
  "magmom_total_mub_per_cell": 0.00,
  "rho_g_cm3": 2.5,
  "final_energy_ev_per_atom": -0.836,
  "lattice": [[2.368, 1.367, 13.820], [-2.368, 1.367, 13.820], [0.000, -2.734, 13.820]],
  "species": ["Cs", "Cs", "Na", "Cd"],
  "frac_coords": [[0.100, 0.100, 0.100], [0.900, 0.900, 0.900], [0.000, 0.000, 0.000], [0.500, 0.500, 0.500]]
}

=====

{
  "formula": "Ac2BiB3Rh12",
  "functional": "PBE",
  "state": "optimized geometry",
  "magmom_total_mub_per_cell": 0.00,
  "rho_g_cm3": 10.4,
  "final_energy_ev_per_atom": -6.813,
  "lattice": [[3.764, 2.173, 6.274], [-3.764, 2.173, 6.274], [0.000, -4.346, 6.274]],
  "species": ["Ac", "Ac", "Bi", "B", "B", "B", "Rh", "Rh", "Rh", "Rh", "Rh", "Rh", "Rh", "Rh", "Rh", "Rh", "Rh", "Rh"],
  "frac_coords": [[0.097, 0.097, 0.097], [0.903, 0.903, 0.903], [0.500, 0.500, 0.500], [0.000, 0.500, 0.500], [0.500, 0.000, 0.500], [0.500, 0.500, 0.000], [0.036, 0.646, 0.646], [0.227, 0.227, 0.615], [0.227, 0.615, 0.227], [0.354, 0.354, 0.964], [0.354, 0.964, 0.354], [0.385, 0.773, 0.773], [0.615, 0.227, 0.227], [0.646, 0.036, 0.646], [0.646, 0.646, 0.036], [0.773, 0.385, 0.773], [0.773, 0.773, 0.385], [0.964, 0.354, 0.354]]
}

=====

{
  "formula": "PrErC",
  "functional": "PBE",
  "state": "optimized geometry",
  "magmom_total_mub_per_cell": 0.00,
  "e_above_lowest_polymorph_mev_per_atom": 10,
  "rho_g_cm3": 7.2,
  "lattice": [[3.615, 0.000, 0.000], [-1.808, 3.131, 0.000], [0.000, 0.000, 6.500]],
  "species": ["Pr", "Er", "C"],
  "frac_coords": [[0.000, 0.000, 0.000], [0.333, 0.667, 0.574], [0.667, 0.333, 0.764]]
}

=====

{
  "formula": "Ta2Mn",
  "functional": "PBE",
  "state": "optimized geometry",
  "magmom_total_mub_per_cell": 0.00,
  "rho_g_cm3": 14.7,
  "final_energy_ev_per_atom": -11.078,
  "lattice": [[1.570, -6.706, 0.000], [1.570, 6.706, 0.000], [0.000, 0.000, 4.476]],
  "species": ["Ta", "Ta", "Ta", "Ta", "Mn", "Mn"],
  "frac_coords": [[0.076, 0.924, 0.750], [0.242, 0.758, 0.250], [0.758, 0.242, 0.750], [0.924, 0.076, 0.250], [0.419, 0.581, 0.750], [0.581, 0.419, 0.250]]
}

=====

{
  "formula": "Cs2InAu2",
  "functional": "PBE",
  "state": "optimized geometry",
  "magmom_total_mub_per_cell": 0.80,
  "e_above_lowest_polymorph_mev_per_atom": 416,
  "rho_g_cm3": 5.9,
  "lattice": [[-2.736, 2.736, 7.264], [2.736, -2.736, 7.264], [2.736, 2.736, -7.264]],
  "species": ["Cs", "Cs", "In", "Au", "Au"],
  "frac_coords": [[0.250, 0.750, 0.500], [0.750, 0.250, 0.500], [0.000, 0.000, 0.000], [0.404, 0.404, 0.000], [0.596, 0.596, 0.000]]
}